Crystalline TaCo4 at its relaxed geometry, computed with PBE-GGA.

The structure in POSCAR format:
```
TaCo4
1.0
-2.720 2.720 2.720
2.720 -2.720 2.720
2.720 2.720 -2.720
Ta Co
1 4
direct
0.000 0.000 0.000
0.000 0.000 0.500
0.000 0.500 0.000
0.500 0.000 0.000
0.500 0.500 0.500
```

Results
- E_form (meV/atom) = 1163
- V (Å³/f.u.) = 80
- SG = No. 229
- DOS at the Fermi energy (states/eV/atom) = 1.611
- E above lowest polymorph (eV per atom) = 1.2383
- density (g cm⁻³) = 8.60